Density functional theory data (GGA-PBE) for crystalline Cs2ZnCd4Au2 at its relaxed geometry.

The structure in POSCAR format:
```
Cs2ZnCd4Au2
1.0
4.984 -3.427 0.000
4.984 3.427 0.000
-0.097 0.000 7.577
Cs Zn Cd Au
2 1 4 2
Direct
0.165 0.165 0.399 Cs
0.835 0.835 0.601 Cs
0.500 0.500 0.500 Zn
0.096 0.658 0.110 Cd
0.342 0.904 0.890 Cd
0.658 0.096 0.110 Cd
0.904 0.342 0.890 Cd
0.392 0.392 0.809 Au
0.608 0.608 0.191 Au
```

Summary:
**V**: 28.76 A^3/atom
**Mass density**: 7.537 Mg/m³
**Fermi-level density of states**: 3.34 states/eV/f.u.
**Formation energy from the elements**: -0.081 eV per atom

---

Density functional theory data (GGA-PBE) for crystalline ScGa4PdRu2 at its relaxed geometry.

The structure in POSCAR format:
```
ScGa4PdRu2
1.0
2.185 1.262 7.325
-2.185 1.262 7.325
0.000 -2.523 7.325
Sc Ga Pd Ru
1 4 1 2
Direct
0.000 0.000 0.000 Sc
0.129 0.129 0.129 Ga
0.381 0.381 0.381 Ga
0.619 0.619 0.619 Ga
0.871 0.871 0.871 Ga
0.500 0.500 0.500 Pd
0.250 0.250 0.250 Ru
0.750 0.750 0.750 Ru
```

Summary:
**V**: 15.15 A^3/atom
**Mass density**: 8.666 Mg/m³
**Fermi-level density of states**: 1.71 states/eV/f.u.
**Formation energy from the elements**: -0.470 eV per atom

---

Density functional theory data (GGA-PBE) for crystalline KSiSb2Te at its relaxed geometry.

The structure in POSCAR format:
```
KSiSb2Te
1.0
5.766 0.000 0.000
0.000 5.766 0.000
0.000 0.000 5.878
K Si Sb Te
1 1 2 1
Direct
0.000 0.000 0.000 K
0.500 0.500 0.500 Si
0.000 0.500 0.000 Sb
0.500 0.000 0.000 Sb
0.000 0.000 0.500 Te
```

Summary:
**V**: 39.08 A^3/atom
**Mass density**: 3.725 Mg/m³
**Fermi-level density of states**: 6.81 states/eV/f.u.
**Offset from the most stable computed form**: 1.3431 eV/atom

---

Density functional theory data (GGA-PBE) for crystalline PmMgCuS3 at its relaxed geometry.

The structure in POSCAR format:
```
PmMgCuS3
1.0
7.659 0.000 0.000
0.000 3.793 0.000
-1.902 0.000 8.126
Pm Mg Cu S
2 2 2 6
Direct
0.190 0.250 0.241 Pm
0.810 0.750 0.759 Pm
0.339 0.750 0.843 Mg
0.661 0.250 0.157 Mg
0.087 0.250 0.586 Cu
0.913 0.750 0.414 Cu
0.097 0.250 0.865 S
0.239 0.750 0.515 S
0.427 0.750 0.156 S
0.573 0.250 0.844 S
0.761 0.250 0.485 S
0.903 0.750 0.135 S
```

Summary:
**V**: 19.67 A^3/atom
**Mass density**: 4.629 Mg/m³

---

Density functional theory data (GGA-PBE) for crystalline K3CeSm3Se8 at its relaxed geometry.

The structure in POSCAR format:
```
K3CeSm3Se8
1.0
4.269 2.464 7.803
-4.269 2.464 7.803
0.000 -4.929 7.803
K Ce Sm Se
3 1 3 8
Direct
0.000 0.500 0.500 K
0.500 0.000 0.500 K
0.500 0.500 0.000 K
0.500 0.500 0.500 Ce
0.000 0.000 0.500 Sm
0.000 0.500 0.000 Sm
0.500 0.000 0.000 Sm
0.236 0.236 0.236 Se
0.240 0.731 0.731 Se
0.269 0.269 0.760 Se
0.269 0.760 0.269 Se
0.731 0.240 0.731 Se
0.731 0.731 0.240 Se
0.760 0.269 0.269 Se
0.764 0.764 0.764 Se
```

Summary:
**V**: 32.84 A^3/atom
**Mass density**: 4.518 Mg/m³

---

Density functional theory data (GGA-PBE) for crystalline CsTe2RuRh at its relaxed geometry.

The structure in POSCAR format:
```
CsTe2RuRh
1.0
5.429 0.000 0.000
0.000 5.429 0.000
0.000 0.000 5.150
Cs Te Ru Rh
1 2 1 1
Direct
0.000 0.000 0.000 Cs
0.000 0.500 0.500 Te
0.500 0.000 0.500 Te
0.500 0.500 0.000 Ru
0.500 0.500 0.500 Rh
```

Summary:
**V**: 30.36 A^3/atom
**Mass density**: 6.476 Mg/m³
**Fermi-level density of states**: 6.38 states/eV/f.u.

---

Density functional theory data (GGA-PBE) for crystalline BaTa2N4 at its relaxed geometry.

The structure in POSCAR format:
```
BaTa2N4
1.0
4.279 -7.097 0.000
4.279 7.097 0.000
-4.135 0.000 4.612
Ba Ta N
2 4 8
Direct
0.113 0.887 0.500 Ba
0.887 0.113 0.000 Ba
0.053 0.503 0.769 Ta
0.503 0.053 0.269 Ta
0.523 0.657 0.226 Ta
0.657 0.523 0.726 Ta
0.192 0.391 0.922 N
0.276 0.797 0.856 N
0.391 0.192 0.422 N
0.553 0.916 0.450 N
0.677 0.711 0.048 N
0.711 0.677 0.548 N
0.797 0.276 0.356 N
0.916 0.553 0.950 N
```

Summary:
**V**: 20.01 A^3/atom
**Mass density**: 6.584 Mg/m³
**Fermi-level density of states**: 0.00 states/eV/f.u.
**Offset from the most stable computed form**: 0.0123 eV/atom

---

Density functional theory data (GGA-PBE) for crystalline Eu2ZnI at its relaxed geometry.

The structure in POSCAR format:
```
Eu2ZnI
1.0
3.852 0.000 0.000
0.000 3.852 0.000
0.000 0.000 8.399
Eu Zn I
2 1 1
Direct
0.000 0.000 0.220 Eu
0.000 0.000 0.780 Eu
0.500 0.500 0.000 Zn
0.500 0.500 0.500 I
```

Summary:
**V**: 31.15 A^3/atom
**Mass density**: 6.614 Mg/m³
**Fermi-level density of states**: 1.99 states/eV/f.u.
**Offset from the most stable computed form**: 0.0243 eV/atom

---

Density functional theory data (GGA-PBE) for crystalline Sm2DyYTl2 at its relaxed geometry.

The structure in POSCAR format:
```
Sm2DyYTl2
1.0
5.146 0.000 0.000
0.000 10.118 0.000
0.000 0.000 6.863
Sm Dy Y Tl
4 2 2 4
Direct
0.000 0.042 0.000 Sm
0.000 0.958 0.500 Sm
0.500 0.187 0.274 Sm
0.500 0.813 0.774 Sm
0.000 0.315 0.625 Dy
0.000 0.685 0.125 Dy
0.500 0.458 0.906 Y
0.500 0.542 0.406 Y
0.000 0.371 0.161 Tl
0.000 0.629 0.661 Tl
0.500 0.141 0.744 Tl
0.500 0.859 0.244 Tl
```

Summary:
**V**: 29.78 A^3/atom
**Mass density**: 8.931 Mg/m³
**Fermi-level density of states**: 6.55 states/eV/f.u.
**Formation energy from the elements**: -0.279 eV per atom

---

Density functional theory data (GGA-PBE) for crystalline PrLuTcAg at its relaxed geometry.

The structure in POSCAR format:
```
PrLuTcAg
1.0
0.000 3.553 3.553
3.553 0.000 3.553
3.553 3.553 0.000
Pr Lu Tc Ag
1 1 1 1
Direct
0.000 0.000 0.000 Pr
0.500 0.500 0.500 Lu
0.250 0.250 0.250 Tc
0.750 0.750 0.750 Ag
```

Summary:
**V**: 22.43 A^3/atom
**Mass density**: 9.656 Mg/m³
**Fermi-level density of states**: 3.56 states/eV/f.u.
**Formation energy from the elements**: -0.037 eV per atom

---

Density functional theory data (GGA-PBE) for crystalline Ca2EuSn at its relaxed geometry.

The structure in POSCAR format:
```
Ca2EuSn
1.0
4.240 0.000 0.000
0.000 4.240 0.000
0.000 0.000 7.650
Ca Eu Sn
2 1 1
Direct
0.000 0.000 0.213 Ca
0.000 0.000 0.787 Ca
0.500 0.500 0.500 Eu
0.500 0.500 0.000 Sn
```

Summary:
**V**: 34.38 A^3/atom
**Mass density**: 4.237 Mg/m³
**Fermi-level density of states**: 3.69 states/eV/f.u.
**Formation energy from the elements**: -0.272 eV per atom
**Offset from the most stable computed form**: 0.1540 eV/atom

---

Calculated energy, -1.548 -5.743 -2.062 -5.181 -5.148 -4.240 -9.491 -6.478 -4.485 -5.666 -4.842 eV per atom (same order as the records).
Calculated size of the total moment, 0.0 0.0 0.0 0.0 0.0 3.6 0.0 14.9 0.0 0.0 7.5 μB/f.u. (same order as the records).